This record from Alexandria via LeMat-Bulk describes a relaxed NaAgHgF4 crystal. The functional is PBE.

Summary:
Raw formation energy   -1.67 eV/atom
Space group   Imma, No. 74
VASP energy   -3.379 eV/atom

Lattice parameters (Å, degrees): 6.8330 6.9802 7.2668 121.37 90.00 119.30
Element x y z (fractional)
Na (0.5000, 0.5000, 0.5000)
Na (0.0000, 0.5000, 0.5000)
Ag (0.8535, 0.7070, 0.1035)
Ag (0.1465, 0.2930, 0.8965)
Hg (0.5000, 0.0000, 0.5000)
Hg (0.5000, 0.0000, 0.0000)
F (0.7309, 0.4617, 0.6992)
F (0.2790, 0.0167, 0.2584)
F (0.7378, 0.0167, 0.2584)
F (0.7309, 0.4617, 0.2625)
F (0.2691, 0.5383, 0.7375)
F (0.7210, 0.9833, 0.7416)
F (0.2622, 0.9833, 0.7416)
F (0.2691, 0.5383, 0.3008)